RbSbN3 meta-GGA SCAN PBEsol geometry; total magnetic moment = 0.298 μB per atom; space-group type = Pm-3m (221); electronic total energy = -14.02 eV/atom; formation energy (no corrections) = 3.159 eV/atom
1.0
4.3226 0.0000 0.0000
0.0000 4.3226 0.0000
0.0000 0.0000 4.3226
Rb Sb N
1 1 3
direct
0.0000 0.0000 0.0000
0.5000 0.5000 0.5000
0.0000 0.0000 0.5000
0.0000 0.5000 0.0000
0.5000 0.0000 0.0000